DFT (PBE-GGA) results for a relaxed Sb2WCl crystal. Values from VASP.

total magnetic moment: 0.000 μB/f.u.
ΔE_f (raw): 0.168 eV/atom
DOS(E_F): 2.63 states/eV per cell
E above lowest polymorph: 0.0000 eV per atom
VASP energy: -5.593 eV per atom

Cell and atoms, written as Quantum ESPRESSO input:
```
&SYSTEM
  ibrav = 0, nat = 4, ntyp = 3
/
ATOMIC_SPECIES
W 183.84 W.upf
Sb 121.76 Sb.upf
Cl 35.45 Cl.upf
CELL_PARAMETERS angstrom
-2.1940 -0.9238 2.5305
-2.4948 -2.3371 -0.6199
3.8061 -7.4129 2.9622
ATOMIC_POSITIONS angstrom
W -0.6619 -8.0053 3.6546
Sb -0.3012 -5.4978 2.4952
Cl -0.2206 -2.6684 1.2182
Sb 3.6660 -7.2520 2.9034
```

=====

DFT (PBE-GGA) results for a relaxed In2CuBi crystal. Values from VASP.

total magnetic moment: 0.000 μB/f.u.
calculated formation energy: 105 meV per atom
DOS(E_F): 1.54 states/eV per cell
VASP energy: -3.259 eV per atom

Cell and atoms, written as Quantum ESPRESSO input:
```
&SYSTEM
  ibrav = 0, nat = 4, ntyp = 3
/
ATOMIC_SPECIES
In 114.82 In.upf
Cu 63.55 Cu.upf
Bi 208.98 Bi.upf
CELL_PARAMETERS angstrom
3.3018 0.0000 0.0000
0.0000 3.3018 0.0000
0.0000 0.0000 8.7971
ATOMIC_POSITIONS angstrom
In 0.0000 0.0000 7.0989
Cu 1.6509 1.6509 0.0000
Bi 1.6509 1.6509 4.3985
In 0.0000 0.0000 1.6982
```

=====

DFT (PBE-GGA) results for a relaxed Pm3Er5Sc3 crystal. Values from VASP.

total magnetic moment: 0.003 μB/f.u.
calculated formation energy: 354 meV per atom
DOS(E_F): 19.73 states/eV per cell
VASP energy: -4.742 eV per atom

Cell and atoms, written as Quantum ESPRESSO input:
```
&SYSTEM
  ibrav = 0, nat = 11, ntyp = 3
/
ATOMIC_SPECIES
Er 167.26 Er.upf
Pm 145.00 Pm.upf
Sc 44.96 Sc.upf
CELL_PARAMETERS angstrom
-3.3031 0.6941 -0.0170
-1.3667 -6.2895 8.7234
2.2095 10.5438 1.2121
ATOMIC_POSITIONS angstrom
Er -2.7915 -4.8989 7.2675
Pm -0.8925 3.9693 0.4079
Pm -1.0983 3.1398 6.5137
Er -0.6341 5.2798 3.7073
Sc 0.3445 1.7388 4.0609
Pm -2.1211 -1.8137 2.9884
Er -1.8262 -0.3313 6.2111
Er -1.5117 1.0529 1.6399
Er 0.1914 9.1415 1.0025
Sc -0.8081 -3.7188 5.1579
Sc 1.3064 6.2343 0.7167
```

=====

DFT (PBE-GGA) results for a relaxed Zn2Ga3Ag2 crystal. Values from VASP.

total magnetic moment: 0.000 μB/f.u.
calculated formation energy: 30 meV per atom
DOS(E_F): 1.98 states/eV per cell
E above lowest polymorph: 0.0000 eV per atom
VASP energy: -2.446 eV per atom

Cell and atoms, written as Quantum ESPRESSO input:
```
&SYSTEM
  ibrav = 0, nat = 7, ntyp = 3
/
ATOMIC_SPECIES
Zn 65.41 Zn.upf
Ga 69.72 Ga.upf
Ag 107.87 Ag.upf
CELL_PARAMETERS angstrom
3.9442 0.0000 0.0000
-1.9721 4.4086 0.7464
0.0000 -0.9382 6.7857
ATOMIC_POSITIONS angstrom
Zn 0.0000 0.3815 2.0003
Ga 1.9721 0.7224 4.0321
Ga 1.9721 0.0000 0.0000
Ag 1.9721 2.3635 1.4682
Ag 0.0000 1.1069 6.0639
Zn 1.9721 3.0888 5.5318
Ga 0.0000 2.7479 3.5000
```

=====

DFT (PBE-GGA) results for a relaxed NbHRh3 crystal. Values from VASP.

total magnetic moment: 0.000 μB/f.u.
DOS(E_F): 5.08 states/eV per cell
E above lowest polymorph: 0.4990 eV per atom
VASP energy: -7.014 eV per atom

Cell and atoms, written as Quantum ESPRESSO input:
```
&SYSTEM
  ibrav = 0, nat = 5, ntyp = 3
/
ATOMIC_SPECIES
Rh 102.91 Rh.upf
Nb 92.91 Nb.upf
H 1.01 H.upf
CELL_PARAMETERS angstrom
4.2049 0.0000 1.5334
-2.1025 3.6416 1.5334
-2.1025 -3.6416 1.5334
ATOMIC_POSITIONS angstrom
Rh 1.2802 2.2174 2.3221
Rh 1.2802 -2.2174 2.3221
Nb 0.0000 0.0000 1.7682
H 0.0000 0.0000 4.4908
Rh -2.5604 0.0000 2.3221
```

=====

DFT (PBE-GGA) results for a relaxed SmHoGe2 crystal. Values from VASP.

total magnetic moment: 0.000 μB/f.u.
calculated formation energy: -859 meV per atom
DOS(E_F): 2.70 states/eV per cell
E above lowest polymorph: 0.0000 eV per atom
VASP energy: -5.491 eV per atom

Cell and atoms, written as Quantum ESPRESSO input:
```
&SYSTEM
  ibrav = 0, nat = 4, ntyp = 3
/
ATOMIC_SPECIES
Ge 72.64 Ge.upf
Ho 164.93 Ho.upf
Sm 150.36 Sm.upf
CELL_PARAMETERS angstrom
-2.7454 2.9811 -1.5421
0.5806 -1.3826 -3.7064
-2.7425 -4.9476 1.4161
ATOMIC_POSITIONS angstrom
Ge -2.5670 -4.5179 -0.8733
Ho -4.6626 -2.6990 0.2765
Ge -4.2147 0.3229 -0.7806
Sm -2.1030 -1.4820 -1.9331
```

=====

DFT (PBE-GGA) results for a relaxed SrLi2TlCu crystal. Values from VASP.

total magnetic moment: 0.000 μB/f.u.
calculated formation energy: -39 meV per atom
DOS(E_F): 3.07 states/eV per cell
VASP energy: -2.433 eV per atom

Cell and atoms, written as Quantum ESPRESSO input:
```
&SYSTEM
  ibrav = 0, nat = 5, ntyp = 4
/
ATOMIC_SPECIES
Sr 87.62 Sr.upf
Li 6.94 Li.upf
Cu 63.55 Cu.upf
Tl 204.38 Tl.upf
CELL_PARAMETERS angstrom
5.0166 0.0000 0.0000
0.0000 5.0166 0.0000
0.0000 0.0000 5.0374
ATOMIC_POSITIONS angstrom
Sr 2.5083 2.5083 2.5187
Li 0.0000 2.5083 0.0000
Cu 0.0000 0.0000 0.0000
Li 2.5083 0.0000 0.0000
Tl 0.0000 0.0000 2.5187
```

=====

DFT (PBE-GGA) results for a relaxed SmGdMnAg crystal. Values from VASP.

total magnetic moment: 4.010 μB/f.u.
calculated formation energy: 8 meV per atom
DOS(E_F): 4.57 states/eV per cell
VASP energy: -7.697 eV per atom

Cell and atoms, written as Quantum ESPRESSO input:
```
&SYSTEM
  ibrav = 0, nat = 4, ntyp = 4
/
ATOMIC_SPECIES
Gd 157.25 Gd.upf
Mn 54.94 Mn.upf
Ag 107.87 Ag.upf
Sm 150.36 Sm.upf
CELL_PARAMETERS angstrom
5.1596 0.0000 0.0000
2.5798 4.4683 0.0000
2.5798 1.4894 4.2128
ATOMIC_POSITIONS angstrom
Gd 5.1596 2.9789 2.1064
Mn 7.7393 4.4683 3.1596
Ag 2.5798 1.4894 1.0532
Sm 0.0000 0.0000 0.0000
```

=====

DFT (PBE-GGA) results for a relaxed RbPtPb4 crystal. Values from VASP.

total magnetic moment: 0.000 μB/f.u.
calculated formation energy: -152 meV per atom
DOS(E_F): 4.43 states/eV per cell
E above lowest polymorph: 0.0477 eV per atom
VASP energy: -3.792 eV per atom

Cell and atoms, written as Quantum ESPRESSO input:
```
&SYSTEM
  ibrav = 0, nat = 12, ntyp = 3
/
ATOMIC_SPECIES
Pb 207.20 Pb.upf
Pt 195.08 Pt.upf
Rb 85.47 Rb.upf
CELL_PARAMETERS angstrom
-3.6755 -2.0016 5.4238
0.8318 -6.2343 -1.7326
8.2629 9.9986 4.9530
ATOMIC_POSITIONS angstrom
Pb 3.0656 -2.7055 0.5377
Pb 4.9562 3.3984 4.0633
Pt 4.5473 1.8821 1.6102
Pb 0.4629 -1.6358 4.5808
Pt 2.2937 3.9985 5.1884
Pb 2.3535 4.4680 8.1065
Pb 3.2279 1.6012 6.5593
Pb 2.1912 0.1614 2.0848
Rb 6.1327 3.8226 7.7174
Pb 0.5098 1.7338 4.7652
Pb 4.9093 0.0288 3.8790
Rb -0.7136 -2.0600 0.9268
```

=====

DFT (PBE-GGA) results for a relaxed RbNp2Se4 crystal. Values from VASP.

total magnetic moment: 7.000 μB/f.u.
ΔE_f (raw): -1.170 eV/atom
DOS(E_F): 45.50 states/eV per cell
E above lowest polymorph: 0.0343 eV per atom
VASP energy: -6.997 eV per atom

Cell and atoms, written as Quantum ESPRESSO input:
```
&SYSTEM
  ibrav = 0, nat = 14, ntyp = 3
/
ATOMIC_SPECIES
Se 78.96 Se.upf
Rb 85.47 Rb.upf
Np 237.00 Np.upf
CELL_PARAMETERS angstrom
-3.6525 -0.8876 1.8970
0.4743 -4.3556 -5.7972
6.6139 -10.0010 8.0553
ATOMIC_POSITIONS angstrom
Se -1.8351 -4.0273 -0.7453
Se 1.4807 -5.4443 4.9761
Rb 0.5869 -6.2867 -1.8115
Np 2.5207 -5.6448 2.2122
Rb 2.8488 -8.9575 5.9666
Se 0.0685 -6.9058 1.5732
Se 3.3672 -8.3385 2.5819
Se -1.8263 -0.4438 0.9485
Se 2.0144 -11.9198 2.9738
Np 0.9150 -9.5994 1.9428
Np 0.0620 -1.9270 -0.7823
Se 1.4213 -3.3244 1.1812
Np 3.3737 -13.3173 4.9373
Se 5.2708 -11.2170 4.9003
```

=====

DFT (PBE-GGA) results for a relaxed PmEr3Fe8 crystal. Values from VASP.

total magnetic moment: 14.136 μB/f.u.
calculated formation energy: -78 meV per atom
DOS(E_F): 15.92 states/eV per cell
VASP energy: -7.257 eV per atom

Cell and atoms, written as Quantum ESPRESSO input:
```
&SYSTEM
  ibrav = 0, nat = 12, ntyp = 3
/
ATOMIC_SPECIES
Pm 145.00 Pm.upf
Fe 55.84 Fe.upf
Er 167.26 Er.upf
CELL_PARAMETERS angstrom
0.2191 -4.9011 -1.5186
3.7227 -1.5369 -3.1867
6.1895 -3.9646 5.0042
ATOMIC_POSITIONS angstrom
Pm 5.7690 -7.1196 -2.2421
Fe 6.1000 -8.0015 0.6518
Fe 8.5056 -8.1404 1.4470
Er 6.8934 -5.8831 2.6133
Er 5.0724 -5.2039 0.1586
Er 6.1828 -3.9621 4.9952
Fe 7.8626 -6.3091 -0.1874
Fe 2.8634 -3.5487 -1.1429
Fe 3.4584 -2.9459 1.3224
Fe 7.9728 -8.7747 -0.9513
Fe 4.7321 -4.3202 -2.7426
Fe 2.9734 -6.0090 -1.9052
```